# 1
This record from the Alexandria database describes an optimized crystal structure of CeTaCr2O8. The functional is PBE+U.

```
CeTaCr2O8
1.0
4.7352 0.0033 -0.0031
0.0482 4.7331 -0.0051
0.0040 0.0068 6.5089
Ce Ta Cr O
1 1 2 8
Direct
0.0000 0.0000 0.5000
0.0000 0.0000 0.0000
0.5000 0.5000 0.7579
0.5000 0.5000 0.2421
0.2017 0.7977 0.2217
0.6934 0.6940 0.0000
0.7984 0.2023 0.2217
0.7983 0.2023 0.7783
0.3066 0.3060 0.0000
0.2016 0.7977 0.7783
0.6757 0.6764 0.5000
0.3243 0.3236 0.5000
```

* D(E_F): 0.446 states/eV/atom
* total energy: -8.436 eV/atom
* symmetry: No. 65



# 2
This record from the Alexandria database describes an optimized crystal structure of CeCr2TcO8. The functional is PBE+U.

```
CeCr2TcO8
1.0
4.7092 -0.0342 -0.0031
0.0055 4.7062 -0.0054
0.0042 0.0072 6.4557
Ce Cr Tc O
1 2 1 8
Direct
0.0000 0.0000 0.5000
0.5000 0.5000 0.7573
0.5000 0.5000 0.2427
0.0000 0.0000 0.0000
0.1999 0.7990 0.2155
0.7051 0.7059 0.0000
0.8001 0.2010 0.2155
0.8001 0.2010 0.7845
0.2949 0.2941 0.0000
0.1999 0.7990 0.7845
0.6784 0.6797 0.5000
0.3216 0.3203 0.5000
```

* D(E_F): 0.207 states/eV/atom
* total energy: -7.923 eV/atom
* symmetry: No. 65



# 3
This record from the Alexandria database describes an optimized crystal structure of CeCr2TeO8. The functional is PBE+U.

```
CeCr2TeO8
1.0
4.6822 -0.0227 -0.0029
0.0063 4.6795 -0.0050
0.0041 0.0071 6.6388
Ce Cr Te O
1 2 1 8
Direct
0.0000 0.0000 0.5000
0.5000 0.5000 0.7580
0.5000 0.5000 0.2420
0.0000 0.0000 0.0000
0.1954 0.8026 0.2176
0.6995 0.7016 0.0000
0.8046 0.1975 0.2176
0.8046 0.1974 0.7824
0.3005 0.2984 0.0000
0.1954 0.8025 0.7824
0.6765 0.6785 0.5000
0.3235 0.3215 0.5000
```

* total energy: -7.222 eV/atom
* symmetry: No. 10



# 4
This record from the Alexandria database describes an optimized crystal structure of CeTiCr2O8. The functional is PBE+U.

```
CeTiCr2O8
1.0
-2.4959 3.9886 -0.5808
-2.7744 -1.0132 3.7108
3.9928 3.0550 3.8195
Ce Ti Cr O
1 1 2 8
Direct
0.0000 0.0000 0.5000
0.0000 0.0000 0.0000
0.5000 0.5000 0.7585
0.5000 0.5000 0.2415
0.2022 0.7985 0.2191
0.6880 0.6875 0.0000
0.7978 0.2015 0.2191
0.7978 0.2015 0.7809
0.3120 0.3125 0.0000
0.2022 0.7985 0.7809
0.6730 0.6720 0.5000
0.3270 0.3280 0.5000
```

* D(E_F): 0.305 states/eV/atom
* total energy: -7.981 eV/atom
* symmetry: No. 65



# 5
This record from the Alexandria database describes an optimized crystal structure of CeTiCrO6. The functional is PBE+U.

```
CeTiCrO6
1.0
-4.5895 0.8235 0.9067
-0.3059 -4.1755 2.2440
2.3968 4.2635 8.2598
Ce Ti Cr O
2 2 2 12
Direct
0.5000 0.5000 0.4965
0.0000 0.0000 0.9965
0.5000 0.5000 0.8344
0.0000 0.0000 0.3344
0.5000 0.5000 0.1677
0.0000 0.0000 0.6677
0.1756 0.8244 0.5017
0.8244 0.1756 0.5017
0.3244 0.3244 0.0017
0.6756 0.6756 0.0017
0.2132 0.7868 0.1855
0.7868 0.2132 0.1855
0.2868 0.2868 0.6855
0.7132 0.7132 0.6855
0.7906 0.2094 0.8134
0.2094 0.7906 0.8134
0.7094 0.7094 0.3134
0.2906 0.2906 0.3134
```

* D(E_F): 0.002 states/eV/atom
* total energy: -8.224 eV/atom
* symmetry: No. 102



# 6
This record from the Alexandria database describes an optimized crystal structure of CeUCrO6. The functional is PBE+U.

```
CeUCrO6
1.0
-5.0131 -1.8827 -0.7797
2.5042 -0.8464 4.7219
-3.7765 8.5891 3.5424
Ce U Cr O
2 2 2 12
Direct
0.0000 0.0000 0.0000
0.0000 0.0000 0.5000
0.6667 0.3333 0.2500
0.3333 0.6667 0.7500
0.3333 0.6667 0.2500
0.6667 0.3333 0.7500
0.6419 0.6541 0.1393
0.0123 0.3581 0.1393
0.3581 0.0123 0.6393
0.9877 0.6419 0.8607
0.3459 0.3581 0.3607
0.0123 0.6541 0.3607
0.6541 0.0123 0.8607
0.6419 0.9877 0.3607
0.9877 0.3459 0.6393
0.3459 0.9877 0.1393
0.6541 0.6419 0.6393
0.3581 0.3459 0.8607
```

* D(E_F): 0.734 states/eV/atom
* total energy: -8.968 eV/atom
* symmetry: No. 163



# 7
This record from the Alexandria database describes an optimized crystal structure of CeVCr2O6. The functional is PBE+U.

```
CeVCr2O6
1.0
5.4034 0.0062 0.0382
2.7049 4.6226 -0.0010
2.7345 1.5227 4.6976
Ce V Cr O
1 1 2 6
Direct
0.7879 0.7921 0.6255
0.3127 0.3117 0.0513
0.5206 0.5217 0.4360
0.0094 0.0126 0.9676
0.6279 0.2399 0.2336
0.2480 0.9099 0.2226
0.9091 0.6217 0.2322
0.3587 0.7256 0.7465
0.7232 0.1667 0.7553
0.1641 0.3597 0.7446
```

* D(E_F): 0.535 states/eV/atom
* total energy: -8.098 eV/atom
* symmetry: No. 1



# 8
This record from the Alexandria database describes an optimized crystal structure of CeVCr2O8. The functional is PBE+U.

```
CeVCr2O8
1.0
4.6803 0.0240 -0.0031
0.0681 4.6759 -0.0053
0.0041 0.0070 6.3634
Ce V Cr O
1 1 2 8
Direct
0.0000 0.0000 0.5000
0.0000 0.0000 0.0000
0.5000 0.5000 0.7622
0.5000 0.5000 0.2378
0.1964 0.8024 0.2102
0.6964 0.6976 0.0000
0.8036 0.1976 0.2102
0.8036 0.1976 0.7898
0.3036 0.3024 0.0000
0.1964 0.8024 0.7898
0.6760 0.6777 0.5000
0.3240 0.3223 0.5000
```

* D(E_F): 0.355 states/eV/atom
* total energy: -7.755 eV/atom
* symmetry: No. 10



# 9
This record from the Alexandria database describes an optimized crystal structure of CeCr2WO8. The functional is PBE+U.

```
CeCr2WO8
1.0
4.7087 -0.0258 -0.0029
0.0106 4.7073 -0.0050
0.0041 0.0069 6.5556
Ce Cr W O
1 2 1 8
Direct
0.0000 0.0000 0.5000
0.5000 0.5000 0.7571
0.5000 0.5000 0.2429
0.0000 0.0000 0.0000
0.1982 0.8011 0.2155
0.7011 0.7017 0.0000
0.8018 0.1989 0.2155
0.8018 0.1989 0.7845
0.2989 0.2983 0.0000
0.1982 0.8011 0.7845
0.6790 0.6798 0.5000
0.3210 0.3202 0.5000
```

* total energy: -7.927 eV/atom
* symmetry: No. 65